# 1
# ScCo2H8

A geometry-optimized ScCo2H8 structure (GGA-PBE, Alexandria via LeMat-Bulk).

Density (g/cm³): 4.42
Density of states at the Fermi level (states/eV per atom): 0.181
V (Å³/cell): 64.3
Electronic total energy (eV/f.u.): -48.6

Cell lengths 3.443, 4.510, 4.510 Å; angles 112.69, 93.39, 93.39 degrees
Fractional coordinates of all 11 atoms:
Co (0.000, 0.320, 0.680)
Co (0.000, 0.680, 0.320)
H (0.255, 0.575, 0.575)
H (0.500, 0.292, 0.708)
H (0.040, 0.041, 0.319)
H (0.040, 0.319, 0.041)
H (0.960, 0.681, 0.959)
H (0.960, 0.959, 0.681)
H (0.745, 0.425, 0.425)
H (0.500, 0.708, 0.292)
Sc (0.500, 0.000, 0.000)

---

# 2
# Sc2CoH2

A geometry-optimized Sc2CoH2 structure (GGA-PBE, Alexandria via LeMat-Bulk).

Density (g/cm³): 4.37
Density of states at the Fermi level (states/eV per atom): 0.285
V (Å³/cell): 57.4
Electronic total energy (eV/f.u.): -28.9

Cell lengths 3.151, 3.151, 6.190 Å; angles 75.25, 75.25, 90.00 degrees
Fractional coordinates of all 5 atoms:
Sc (0.638, 0.638, 0.723)
Sc (0.362, 0.362, 0.277)
H (0.750, 0.250, 0.500)
H (0.250, 0.750, 0.500)
Co (0.000, 0.000, 0.000)

---

# 3
# ScCoH4

A geometry-optimized ScCoH4 structure (GGA-PBE, Alexandria via LeMat-Bulk).

Density (g/cm³): 3.91
Density of states at the Fermi level (states/eV per atom): 0.248
V (Å³/cell): 91.7
Relative energy among the computed polymorphs (meV per atom): 0.0

Cell lengths 5.166, 5.708, 4.635 Å; angles 105.46, 99.87, 128.80 degrees
Fractional coordinates of all 12 atoms:
H (0.669, 0.124, 0.256)
H (0.604, 0.438, 0.200)
H (0.913, 0.868, 0.744)
H (0.096, 0.762, 0.200)
H (0.087, 0.132, 0.256)
H (0.904, 0.238, 0.800)
H (0.331, 0.876, 0.744)
H (0.396, 0.562, 0.800)
Sc (0.617, 0.367, 0.735)
Sc (0.383, 0.633, 0.265)
Co (0.708, 0.958, 0.915)
Co (0.292, 0.042, 0.085)

---

# 4
# ScCo3H

A geometry-optimized ScCo3H structure (GGA-PBE, Alexandria via LeMat-Bulk).

Density (g/cm³): 4.14
Density of states at the Fermi level (states/eV per atom): 1.646
V (Å³/cell): 89.4
Relative energy among the computed polymorphs (meV per atom): 2121.7

Cell lengths 4.471, 4.471, 4.471 Å; angles 90.00, 90.00, 90.00 degrees
Site moments in Bohr magnetons follow the coordinates.
Fractional coordinates of all 5 atoms:
H (0.500, 0.500, 0.500)  0.07
Co (0.500, 0.000, 0.000)  0.98
Co (0.000, 0.000, 0.500)  1.28
Co (0.000, 0.500, 0.000)  1.15
Sc (0.000, 0.000, 0.000)  -0.36

---

# 5
# ScCo4H8

A geometry-optimized ScCo4H8 structure (GGA-PBE, Alexandria via LeMat-Bulk).

Density (g/cm³): 4.57
Density of states at the Fermi level (states/eV per atom): 0.479
V (Å³/cell): 104.9
Electronic total energy (eV/f.u.): -62.3

Cell lengths 5.129, 5.129, 5.475 Å; angles 90.00, 117.93, 120.00 degrees
Site moments in Bohr magnetons follow the coordinates.
Fractional coordinates of all 13 atoms:
Co (0.500, 0.000, 0.000)  0.56
Co (0.000, 0.500, 0.000)  0.56
Co (0.000, 0.000, 0.000)  0.47
Co (0.500, 0.500, 0.000)  0.56
H (0.445, 0.222, 0.184)  0.00
H (0.038, 0.260, 0.816)  0.00
H (0.962, 0.222, 0.184)  0.00
H (0.461, 0.730, 0.191)  -0.01
H (0.539, 0.270, 0.809)  -0.01
H (0.962, 0.740, 0.184)  0.00
H (0.038, 0.778, 0.816)  0.00
H (0.555, 0.778, 0.816)  0.00
Sc (0.000, 0.500, 0.500)  -0.02

---

# 6
# ScCoH3

A geometry-optimized ScCoH3 structure (GGA-PBE, Alexandria via LeMat-Bulk).

Density (g/cm³): 4.59
Density of states at the Fermi level (states/eV per atom): 0.357
V (Å³/cell): 38.7
Electronic total energy (eV/f.u.): -23.6

Cell lengths 2.915, 2.915, 4.554 Å; angles 90.00, 90.00, 90.00 degrees
Site moments in Bohr magnetons follow the coordinates.
Fractional coordinates of all 5 atoms:
Co (0.500, 0.500, 0.624)  0.87
H (0.000, 0.500, 0.420)  0.00
H (0.000, 0.000, 0.681)  0.00
H (0.500, 0.000, 0.420)  0.00
Sc (0.000, 0.000, 0.120)  0.28